# 1
DFT (meta-GGA SCAN) results for Ru2PtC2 at its PBEsol-relaxed geometry.

a = 3.7628 Å, b = 3.7628 Å, c = 7.5513 Å
α = 90.00°, β = 90.00°, γ = 90.00°
With the nearest neighbours (Å) after each atom.
Space group I4/mmm (No. 139)
One atom of each set of equivalent atoms:
Ru: 0.0000 0.5000 0.2500 x4  4 C 2.19
Pt: 0.0000 0.0000 0.0000 x2  8 Ru 2.67, 8 C 2.77
C: 0.0000 0.0000 0.3976 x4  1 C 1.55

Calculated values
The value obtained for the formation energy is 15.0 kcal/mol of atoms. The calculation puts the relative energy among the computed polymorphs at 0 meV per atom.


# 2
DFT (meta-GGA SCAN) results for PtC3S at its PBEsol-relaxed geometry.

a = 3.9560 Å, b = 3.9560 Å, c = 3.9560 Å
α = 90.00°, β = 90.00°, γ = 90.00°
With the nearest neighbours (Å) after each atom.
Space group Pm-3m (No. 221)
One atom of each set of equivalent atoms:
Pt: 0.0000 0.0000 0.0000 x1  6 C 1.98
C: 0.0000 0.0000 0.5000 x3  2 Pt 1.98
S: 0.5000 0.5000 0.5000 x1  12 C 2.80

Calculated values
As for the raw formation energy: 2.55 eV per atom.


# 3
DFT (meta-GGA SCAN) results for SbPtC2 at its PBEsol-relaxed geometry.

a = 4.8390 Å, b = 4.8390 Å, c = 9.9531 Å
α = 90.00°, β = 90.00°, γ = 90.00°
With the nearest neighbours (Å) after each atom.
Space group I-42d (No. 122)
One atom of each set of equivalent atoms:
Sb: 0.0000 0.0000 0.0000 x4  4 C 2.18
Pt: 0.0000 0.0000 0.5000 x4  4 C 2.05
C: 0.2272 0.2500 0.6250 x8  2 Pt 2.05, 2 Sb 2.18

Calculated values
As for the raw formation energy: 1.18 eV per atom.


# 4
DFT (meta-GGA SCAN) results for SbTe2PtC at its PBEsol-relaxed geometry.

a = 5.3137 Å, b = 5.3137 Å, c = 5.0410 Å
α = 90.00°, β = 90.00°, γ = 90.00°
With the nearest neighbours (Å) after each atom.
Space group P4/mmm (No. 123)
One atom of each set of equivalent atoms:
Sb: 0.0000 0.0000 0.0000 x1  2 Pt 2.52
Te: 0.0000 0.5000 0.5000 x2  2 Pt 2.66
Pt: 0.0000 0.0000 0.5000 x1  2 Sb 2.52, 4 Te 2.66
C: 0.5000 0.5000 0.0000 x1  8 Te 3.66, 4 Sb 3.76

Calculated values
As for the raw formation energy: 1.66 eV per atom.


# 5
DFT (meta-GGA SCAN) results for ScPt3C at its PBEsol-relaxed geometry.

a = 4.1901 Å, b = 4.1901 Å, c = 4.1901 Å
α = 90.00°, β = 90.00°, γ = 90.00°
With the nearest neighbours (Å) after each atom.
Space group Pm-3m (No. 221)
One atom of each set of equivalent atoms:
Sc: 0.0000 0.0000 0.0000 x1  12 Pt 2.96
Pt: 0.0000 0.5000 0.5000 x3  2 C 2.10
C: 0.5000 0.5000 0.5000 x1  6 Pt 2.10

Calculated values
The value obtained for the formation energy is -5.2 kcal/mol of atoms.


# 6
DFT (meta-GGA SCAN) results for Pt2CSe at its PBEsol-relaxed geometry.

a = 6.0386 Å, b = 6.0386 Å, c = 6.0386 Å
α = 90.00°, β = 90.00°, γ = 90.00°
With the nearest neighbours (Å) after each atom.
Space group Fm-3m (No. 225)
One atom of each set of equivalent atoms:
Pt: 0.2500 0.2500 0.2500 x8  4 Se 2.61, 4 C 2.61
C: 0.0000 0.0000 0.0000 x4  8 Pt 2.61
Se: 0.0000 0.0000 0.5000 x4  8 Pt 2.61

Calculated values
As for the raw formation energy: 1.35 eV per atom.


# 7
DFT (meta-GGA SCAN) results for SrPtC2 at its PBEsol-relaxed geometry.

a = 5.1729 Å, b = 5.1729 Å, c = 10.3256 Å
α = 90.00°, β = 90.00°, γ = 90.00°
With the nearest neighbours (Å) after each atom.
Space group I-42d (No. 122)
One atom of each set of equivalent atoms:
Sr: 0.0000 0.0000 0.0000 x4  4 C 2.62
Pt: 0.0000 0.0000 0.5000 x4  4 C 1.96
C: 0.1366 0.2500 0.6250 x8  2 Pt 1.96

Calculated values
The value obtained for the formation energy is 16.9 kcal/mol of atoms.


# 8
DFT (meta-GGA SCAN) results for SrPt2C at its PBEsol-relaxed geometry.

a = 5.1928 Å, b = 5.1928 Å, c = 12.3660 Å
α = 90.00°, β = 90.00°, γ = 90.00°
With the nearest neighbours (Å) after each atom.
Space group I4_1/amd (No. 141, origin choice 2)
One atom of each set of equivalent atoms:
Sr: 0.0000 0.2500 0.3750 x4  8 Pt 3.29, 4 C 3.67
Pt: 0.0000 0.0000 0.0000 x8  2 C 2.02
C: 0.0000 0.2500 0.8750 x4  4 Pt 2.02

Calculated values
The value obtained for the formation energy is -6.7 kcal/mol of atoms.


# 9
DFT (meta-GGA SCAN) results for TePt2C at its PBEsol-relaxed geometry.

a = 4.8921 Å, b = 4.8921 Å, c = 11.9738 Å
α = 90.00°, β = 90.00°, γ = 90.00°
With the nearest neighbours (Å) after each atom.
Space group I-42d (No. 122)
One atom of each set of equivalent atoms:
Te: 0.0000 0.0000 0.0000 x4  4 Pt 2.64
Pt: 0.1329 0.2500 0.6250 x8  2 C 2.04
C: 0.0000 0.0000 0.5000 x4  4 Pt 2.04

Calculated values
As for the raw formation energy: 0.31 eV per atom.


# 10
DFT (meta-GGA SCAN) results for ZnTe2PtC at its PBEsol-relaxed geometry.

a = 5.0172 Å, b = 5.0172 Å, c = 3.8897 Å
α = 90.00°, β = 90.00°, γ = 90.00°
With the nearest neighbours (Å) after each atom.
Space group P4/mmm (No. 123)
One atom of each set of equivalent atoms:
Zn: 0.0000 0.0000 0.0000 x1  8 Te 3.17, 4 Pt 3.55
Te: 0.0000 0.5000 0.5000 x2  2 C 2.51
Pt: 0.5000 0.5000 0.0000 x1  2 C 1.94
C: 0.5000 0.5000 0.5000 x1  2 Pt 1.94

Calculated values
As for the raw formation energy: 0.91 eV per atom.


# 11
DFT (meta-GGA SCAN) results for V3PtC at its PBEsol-relaxed geometry.

a = 3.9203 Å, b = 3.9203 Å, c = 3.9203 Å
α = 90.00°, β = 90.00°, γ = 90.00°
With the nearest neighbours (Å) after each atom.
Space group Pm-3m (No. 221)
One atom of each set of equivalent atoms:
V: 0.0000 0.0000 0.5000 x3  2 C 1.96
Pt: 0.5000 0.5000 0.5000 x1  12 V 2.77
C: 0.0000 0.0000 0.0000 x1  6 V 1.96

Calculated values
The value obtained for the formation energy is -13.5 kcal/mol of atoms.


# 12
DFT (meta-GGA SCAN) results for YPtC3 at its PBEsol-relaxed geometry.

a = 4.0098 Å, b = 4.0098 Å, c = 4.0098 Å
α = 90.00°, β = 90.00°, γ = 90.00°
With the nearest neighbours (Å) after each atom.
Space group Pm-3m (No. 221)
One atom of each set of equivalent atoms:
Y: 0.0000 0.0000 0.0000 x1  12 C 2.84
Pt: 0.5000 0.5000 0.5000 x1  6 C 2.00
C: 0.0000 0.5000 0.5000 x3  2 Pt 2.00

Calculated values
The value obtained for the formation energy is 35.2 kcal/mol of atoms.


Let's list magnetic moment in order: 0.00; 1.97; 0.00; 0.69; 0.00; 0.00; 0.00; 0.00; 0.00; 0.00; 0.00; 0.00 μB/f.u..
Let's list final energy in order: -31.358; -19.477; -30.729; -36.750; -47.209; -41.288; -27.435; -43.481; -46.629; -32.755; -27.135; -24.142 eV/atom.